Entry 1:
! CeZn2Cd4 (PBE, optimized geometry); values from VASP
&SYSTEM
  ibrav = 0, nat = 7, ntyp = 3
/
ATOMIC_SPECIES
Cd 112.41 Cd.upf
Ce 140.12 Ce.upf
Zn 65.41 Zn.upf
ATOMIC_POSITIONS crystal
Cd 0.500 0.177 0.354
Cd 0.000 0.320 0.639
Cd 0.000 0.680 0.361
Cd 0.500 0.823 0.646
Ce 0.000 0.000 0.000
Zn 0.500 0.577 0.154
Zn 0.500 0.423 0.846
CELL_PARAMETERS angstrom
-2.053 3.861 -0.690
-3.605 -1.538 2.124
4.610 3.461 5.651
! Total DFT energy (no corrections)   -1.90 eV per atom
! Space-group type   Cmmm
! Size of the total moment   0.129 μB per atom
! Mass density   7.8 g cm⁻³


Entry 2:
! Sr2GaBiAs (PBE, optimized geometry); values from VASP
&SYSTEM
  ibrav = 0, nat = 10, ntyp = 4
/
ATOMIC_SPECIES
Ga 69.72 Ga.upf
Sr 87.62 Sr.upf
As 74.92 As.upf
Bi 208.98 Bi.upf
ATOMIC_POSITIONS crystal
Ga 0.250 0.508 0.774
Ga 0.750 0.492 0.226
Sr 0.750 0.760 0.011
Sr 0.250 0.224 0.400
Sr 0.250 0.240 0.989
Sr 0.750 0.776 0.600
As 0.250 0.840 0.813
As 0.750 0.160 0.187
Bi 0.250 0.709 0.308
Bi 0.750 0.291 0.692
CELL_PARAMETERS angstrom
-3.975 0.845 2.182
1.897 -4.952 5.374
3.486 8.791 2.948
! Total DFT energy (no corrections)   -3.74 eV per atom
! Space-group type   P2_1/m
! Size of the total moment   0.000 μB per atom
! Mass density   5.3 g cm⁻³


Entry 3:
! Tb6AlPd (PBE, optimized geometry); values from VASP
&SYSTEM
  ibrav = 0, nat = 8, ntyp = 3
/
ATOMIC_SPECIES
Tb 158.93 Tb.upf
Al 26.98 Al.upf
Pd 106.42 Pd.upf
ATOMIC_POSITIONS crystal
Tb 0.604 0.104 0.792
Tb 0.396 0.896 0.208
Tb 0.896 0.396 0.208
Tb 0.746 0.746 0.507
Tb 0.254 0.254 0.493
Tb 0.104 0.604 0.792
Al 0.500 0.500 0.000
Pd 0.000 0.000 0.000
CELL_PARAMETERS angstrom
-4.191 2.679 -0.190
-1.229 -1.597 4.552
1.584 7.518 5.792
! Total DFT energy (no corrections)   -4.85 eV per atom
! Space-group type   I4/mmm
! Size of the total moment   0.000 μB per atom
! Mass density   8.1 g cm⁻³


Entry 4:
! In2HgGe2 (PBE, optimized geometry); values from VASP
&SYSTEM
  ibrav = 0, nat = 5, ntyp = 3
/
ATOMIC_SPECIES
Hg 200.59 Hg.upf
In 114.82 In.upf
Ge 72.64 Ge.upf
ATOMIC_POSITIONS crystal
Hg 0.000 0.000 0.000
In 0.393 0.393 0.213
In 0.607 0.607 0.787
Ge 0.250 0.750 0.500
Ge 0.750 0.250 0.500
CELL_PARAMETERS angstrom
3.819 0.000 0.000
0.000 3.819 0.000
1.909 1.909 8.563
! Polymorph energy (0 for the lowest one)   3 meV/atom
! Space-group type   I4/mmm
! Size of the total moment   0.000 μB per atom
! Mass density   7.7 g cm⁻³


Entry 5:
! LaDyGa (PBE, optimized geometry); values from VASP
&SYSTEM
  ibrav = 0, nat = 3, ntyp = 3
/
ATOMIC_SPECIES
Dy 162.50 Dy.upf
Ga 69.72 Ga.upf
La 138.91 La.upf
ATOMIC_POSITIONS crystal
Dy 0.097 0.000 0.000
Ga 0.256 0.333 0.667
La 0.648 0.667 0.333
CELL_PARAMETERS angstrom
-1.402 -3.413 1.412
4.096 -2.351 -1.616
-0.111 1.947 4.595
! Polymorph energy (0 for the lowest one)   111 meV/atom
! Space-group type   P3m1
! Size of the total moment   0.000 μB per atom
! Mass density   7.2 g cm⁻³


Entry 6:
! CaThP2 (PBE, optimized geometry); values from VASP
&SYSTEM
  ibrav = 0, nat = 8, ntyp = 3
/
ATOMIC_SPECIES
Th 232.04 Th.upf
Ca 40.08 Ca.upf
P 30.97 P.upf
ATOMIC_POSITIONS crystal
Th 0.750 0.250 0.500
Th 0.000 0.000 0.000
Ca 0.250 0.750 0.500
Ca 0.500 0.500 0.000
P 0.758 0.758 0.516
P 0.242 0.242 0.484
P 0.992 0.492 0.984
P 0.508 0.008 0.016
CELL_PARAMETERS angstrom
5.856 0.000 0.000
0.000 5.856 0.000
-2.928 -2.928 5.951
! Polymorph energy (0 for the lowest one)   4 meV/atom
! Space-group type   I4_1/amd
! Size of the total moment   0.000 μB per atom
! Mass density   5.4 g cm⁻³


Entry 7:
! Pr2InCu3 (PBE, optimized geometry); values from VASP
&SYSTEM
  ibrav = 0, nat = 12, ntyp = 3
/
ATOMIC_SPECIES
Pr 140.91 Pr.upf
In 114.82 In.upf
Cu 63.55 Cu.upf
ATOMIC_POSITIONS crystal
Pr 0.250 0.750 0.500
Pr 0.750 0.250 0.500
Pr 0.235 0.235 0.000
Pr 0.765 0.765 0.000
In 0.336 0.336 0.671
In 0.664 0.664 0.329
Cu 0.837 0.837 0.674
Cu 0.677 0.164 0.840
Cu 0.163 0.163 0.326
Cu 0.164 0.677 0.840
Cu 0.836 0.323 0.160
Cu 0.323 0.836 0.160
CELL_PARAMETERS angstrom
-5.174 -2.468 -1.357
0.392 -1.553 5.669
-1.319 8.648 -0.081
! Total DFT energy (no corrections)   -4.31 eV per atom
! Space-group type   Fmmm
! Size of the total moment   0.000 μB per atom
! Mass density   7.2 g cm⁻³


Entry 8:
! KBe3Ag (PBE, optimized geometry); values from VASP
&SYSTEM
  ibrav = 0, nat = 5, ntyp = 3
/
ATOMIC_SPECIES
Be 9.01 Be.upf
K 39.10 K.upf
Ag 107.87 Ag.upf
ATOMIC_POSITIONS crystal
Be 0.500 0.000 0.000
Be 0.000 0.500 0.000
Be 0.000 0.000 0.500
K 0.500 0.500 0.500
Ag 0.000 0.000 0.000
CELL_PARAMETERS angstrom
-3.105 -3.314 -0.374
2.792 -2.304 -2.767
1.824 -2.115 3.601
! Polymorph energy (0 for the lowest one)   0 meV/atom
! Space-group type   Pm-3m
! Size of the total moment   0.000 μB per atom
! Mass density   3.1 g cm⁻³


Entry 9:
! TbMgSc (PBE, optimized geometry); values from VASP
&SYSTEM
  ibrav = 0, nat = 6, ntyp = 3
/
ATOMIC_SPECIES
Sc 44.96 Sc.upf
Mg 24.30 Mg.upf
Tb 158.93 Tb.upf
ATOMIC_POSITIONS crystal
Sc 0.792 0.290 0.836
Sc 0.453 0.790 0.676
Mg 0.444 0.293 0.184
Mg 0.801 0.793 0.329
Tb 0.128 0.291 0.502
Tb 0.117 0.791 0.010
CELL_PARAMETERS angstrom
-2.331 2.386 -0.457
-2.408 -2.358 -0.031
-3.755 3.656 13.418
! Polymorph energy (0 for the lowest one)   8 meV/atom
! Space-group type   P2_1
! Size of the total moment   0.000 μB per atom
! Mass density   4.8 g cm⁻³


Entry 10:
! Ho4SnAuC (PBE, optimized geometry); values from VASP
&SYSTEM
  ibrav = 0, nat = 14, ntyp = 4
/
ATOMIC_SPECIES
Ho 164.93 Ho.upf
C 12.01 C.upf
Sn 118.71 Sn.upf
Au 196.97 Au.upf
ATOMIC_POSITIONS crystal
Ho 0.588 0.250 0.177
Ho 0.078 0.750 0.155
Ho 0.500 0.000 0.500
Ho 0.000 0.500 0.500
Ho 0.500 0.500 0.500
Ho 0.000 0.000 0.500
Ho 0.412 0.750 0.823
Ho 0.922 0.250 0.845
C 0.249 0.750 0.497
C 0.751 0.250 0.503
Sn 0.384 0.250 0.768
Sn 0.616 0.750 0.232
Au 0.882 0.750 0.763
Au 0.118 0.250 0.237
CELL_PARAMETERS angstrom
-1.930 -6.286 1.863
5.778 -2.547 -2.609
4.337 4.057 5.645
! Total DFT energy (no corrections)   -5.54 eV per atom
! Space-group type   Cmcm
! Size of the total moment   0.000 μB per atom
! Mass density   9.4 g cm⁻³


Entry 11:
! SrLa2GaS (PBE, optimized geometry); values from VASP
&SYSTEM
  ibrav = 0, nat = 5, ntyp = 4
/
ATOMIC_SPECIES
La 138.91 La.upf
Ga 69.72 Ga.upf
Sr 87.62 Sr.upf
S 32.06 S.upf
ATOMIC_POSITIONS crystal
La 0.000 0.500 0.000
La 0.500 0.000 0.000
Ga 0.500 0.500 0.500
Sr 0.000 0.000 0.000
S 0.000 0.000 0.500
CELL_PARAMETERS angstrom
6.141 0.000 0.000
0.000 6.141 0.000
0.000 0.000 5.214
! ΔE_f (raw)   0.539 eV per atom
! Space-group type   P4/mmm
! Size of the total moment   0.022 μB per atom
! Mass density   3.9 g cm⁻³


Entry 12:
! Ag2Hg (PBE, optimized geometry); values from VASP
&SYSTEM
  ibrav = 0, nat = 6, ntyp = 2
/
ATOMIC_SPECIES
Ag 107.87 Ag.upf
Hg 200.59 Hg.upf
ATOMIC_POSITIONS crystal
Ag 0.331 0.331 0.663
Ag 0.978 0.978 0.982
Ag 0.466 0.466 0.407
Ag 0.113 0.113 0.726
Hg 0.679 0.679 0.335
Hg 0.765 0.765 0.054
CELL_PARAMETERS angstrom
-2.509 -5.033 0.686
0.576 -5.574 0.831
1.374 9.340 5.625
! Polymorph energy (0 for the lowest one)   13 meV/atom
! Space-group type   C2/m
! Size of the total moment   0.000 μB per atom
! Mass density   11.8 g cm⁻³